Ag3IO (meta-GGA SCAN, single point on PBEsol structure); VASP energy = -131.4 eV/cell; density of states at the Fermi level = 3.510 states/eV/cell; energy relative to the elements, uncorrected = 1.14 eV per atom
1.0
-1.125 -4.739 1.817
4.851 -0.457 1.811
-1.491 2.087 4.521
I O Ag
1 1 3
direct
0.000 0.000 0.000
0.500 0.500 0.500
0.000 0.500 0.000
0.000 0.000 0.500
0.500 0.000 0.000



Al3HOs (meta-GGA SCAN, single point on PBEsol structure); VASP energy = -96.7 eV/cell; density of states at the Fermi level = 1.661 states/eV/cell
1.0
-0.472 0.860 4.610
-2.311 -4.074 0.523
4.080 -2.208 0.829
H Os Al
1 1 3
direct
0.500 0.500 0.500
0.000 0.000 0.000
0.000 0.500 0.000
0.000 0.000 0.500
0.500 0.000 0.000



HgAsOsPd2 (meta-GGA SCAN, single point on PBEsol structure); ΔH_f (0 K) = 19.9 kcal/mol of atoms; VASP energy = -221.5 eV/cell; density of states at the Fermi level = 4.114 states/eV/cell
1.0
-0.910 -3.924 -2.106
2.684 -2.393 3.298
-3.956 -0.584 2.796
As Os Hg Pd
1 1 1 2
direct
0.500 0.000 0.000
0.000 0.000 0.000
0.500 0.500 0.500
0.000 0.000 0.500
0.000 0.500 0.000



ZrBr2O (meta-GGA SCAN, single point on PBEsol structure); VASP energy = -168.4 eV/cell; density of states at the Fermi level = 0.000 states/eV/cell; energy relative to the elements, uncorrected = -2.08 eV per atom
1.0
-3.557 -1.627 -0.542
0.694 -4.340 -5.910
0.060 -6.233 3.924
O Br Zr
2 4 2
direct
0.250 0.500 0.500
0.500 0.000 0.000
0.968 0.157 0.657
0.782 0.843 0.343
0.375 0.657 0.843
0.875 0.343 0.157
0.750 0.500 0.500
0.000 0.000 0.000



MnTlSi2 (meta-GGA SCAN, single point on PBEsol structure); VASP energy = -107.7 eV/cell; density of states at the Fermi level = 2.961 states/eV/cell; energy above the lowest structure with this stoichiometry = 467 meV/atom; energy relative to the elements, uncorrected = 0.73 eV per atom
1.0
-0.043 -4.444 1.301
3.762 -2.629 -0.613
2.491 -1.366 3.656
Mn Si Tl
1 2 1
direct
0.000 0.000 0.000
0.250 0.250 0.250
0.750 0.750 0.750
0.500 0.500 0.500



ReMoAsBr2 (meta-GGA SCAN, single point on PBEsol structure); VASP energy = -159.1 eV/cell; density of states at the Fermi level = 2.756 states/eV/cell; energy relative to the elements, uncorrected = 1.21 eV per atom
1.0
4.711 0.000 0.000
0.000 5.102 0.000
0.000 0.000 5.102
Re Mo As Br
1 1 1 2
direct
0.000 0.000 0.000
0.500 0.500 0.500
0.500 0.000 0.000
0.000 0.000 0.500
0.000 0.500 0.000



TaTlSb (meta-GGA SCAN, single point on PBEsol structure); VASP energy = -174.0 eV/cell; density of states at the Fermi level = 2.702 states/eV/cell; energy relative to the elements, uncorrected = 0.73 eV per atom
1.0
4.739 0.000 0.000
2.370 4.104 0.000
2.370 1.368 3.870
Sb Ta Tl
1 1 1
direct
0.500 0.500 0.500
0.250 0.250 0.250
0.000 0.000 0.000



RbScOF2 (meta-GGA SCAN, single point on PBEsol structure); VASP energy = -53.5 eV/cell; density of states at the Fermi level = 2.054 states/eV/cell; energy above the lowest structure with this stoichiometry = 2480 meV/atom; energy relative to the elements, uncorrected = -1.05 eV per atom
1.0
-1.976 -0.174 3.988
2.792 -3.546 1.229
3.127 3.045 1.682
Sc O Rb F
1 1 1 2
direct
0.500 0.500 0.500
0.500 0.000 0.000
0.000 0.000 0.000
0.000 0.000 0.500
0.000 0.500 0.000



LaSb2TeMo (meta-GGA SCAN, single point on PBEsol structure); VASP energy = -184.4 eV/cell; density of states at the Fermi level = 4.207 states/eV/cell; energy above the lowest structure with this stoichiometry = 1201 meV/atom; energy relative to the elements, uncorrected = 1.08 eV per atom
1.0
5.907 0.000 0.000
0.000 5.896 0.000
0.000 0.000 5.896
Sb Mo Te La
2 1 1 1
direct
0.000 0.000 0.500
0.000 0.500 0.000
0.500 0.500 0.500
0.500 0.000 0.000
0.000 0.000 0.000



Li2YCd (meta-GGA SCAN, single point on PBEsol structure); ΔH_f (0 K) = -1.7 kcal/mol of atoms; VASP energy = -63.3 eV/cell; density of states at the Fermi level = 2.814 states/eV/cell; energy above the lowest structure with this stoichiometry = 96 meV/atom
1.0
3.347 0.000 0.000
0.000 5.204 0.000
0.000 0.000 5.266
Cd Li Y
1 2 1
direct
0.000 0.500 0.500
0.000 0.000 0.000
0.500 0.500 0.000
0.500 0.000 0.500



TaTc2Te (meta-GGA SCAN, single point on PBEsol structure); VASP energy = -174.3 eV/cell; density of states at the Fermi level = 1.555 states/eV/cell; energy relative to the elements, uncorrected = -0.09 eV per atom
1.0
3.206 0.000 0.000
0.000 3.206 0.000
0.000 0.000 6.411
Ta Tc Te
1 2 1
direct
0.500 0.500 0.500
0.000 0.000 0.740
0.000 0.000 0.260
0.500 0.500 0.000



TmAlCu4 (meta-GGA SCAN, single point on PBEsol structure); ΔH_f (0 K) = -7.0 kcal/mol of atoms; VASP energy = -122.2 eV/cell; density of states at the Fermi level = 3.079 states/eV/cell
1.0
3.999 0.000 0.000
0.000 5.031 0.000
0.000 -2.516 4.357
Tm Al Cu
1 1 4
direct
0.000 0.000 0.000
0.000 0.667 0.333
0.000 0.333 0.667
0.500 0.002 0.501
0.500 0.499 0.998
0.500 0.499 0.501



TaCr3C (meta-GGA SCAN, single point on PBEsol structure); ΔH_f (0 K) = 1.4 kcal/mol of atoms; VASP energy = -131.5 eV/cell; density of states at the Fermi level = 5.598 states/eV/cell
1.0
-3.459 0.132 -1.710
-0.489 -3.766 0.698
-1.644 0.842 3.390
Cr C Ta
3 1 1
direct
0.000 0.500 0.000
0.000 0.000 0.500
0.500 0.000 0.000
0.000 0.000 0.000
0.500 0.500 0.500



NaZrCuSe3 (meta-GGA SCAN, single point on PBEsol structure); VASP energy = -470.7 eV/cell; energy relative to the elements, uncorrected = -1.22 eV per atom
1.0
3.803 0.000 0.000
0.000 10.177 0.000
0.000 0.000 13.472
Na Zr Cu Se
4 4 4 12
direct
0.250 0.047 0.228
0.750 0.953 0.772
0.750 0.547 0.272
0.250 0.453 0.728
0.250 0.322 0.011
0.750 0.678 0.989
0.750 0.822 0.489
0.250 0.178 0.511
0.250 0.592 0.492
0.750 0.408 0.508
0.750 0.092 0.008
0.250 0.908 0.992
0.250 0.565 0.104
0.750 0.435 0.896
0.750 0.065 0.396
0.250 0.935 0.604
0.250 0.383 0.394
0.750 0.617 0.606
0.750 0.883 0.106
0.250 0.117 0.894
0.250 0.753 0.360
0.750 0.247 0.640
0.750 0.253 0.140
0.250 0.747 0.860



Os3Rh (meta-GGA SCAN, single point on PBEsol structure); ΔH_f (0 K) = 3.0 kcal/mol of atoms; VASP energy = -248.9 eV/cell; density of states at the Fermi level = 2.925 states/eV/cell
1.0
2.686 0.000 0.000
0.000 4.677 -0.001
0.000 -1.580 4.402
Os Rh
3 1
direct
0.000 0.000 0.000
0.500 0.000 0.500
0.500 0.500 0.000
0.000 0.500 0.500



Cd2CuRe (meta-GGA SCAN, single point on PBEsol structure); ΔH_f (0 K) = 18.9 kcal/mol of atoms; VASP energy = -143.8 eV/cell; density of states at the Fermi level = 2.146 states/eV/cell; energy above the lowest structure with this stoichiometry = 359 meV/atom
1.0
4.528 0.000 0.000
2.264 3.921 0.000
2.264 1.307 3.697
Cd Cu Re
2 1 1
direct
0.250 0.250 0.250
0.750 0.750 0.750
0.000 0.000 0.000
0.500 0.500 0.500



KAl2Tc (meta-GGA SCAN, single point on PBEsol structure); ΔH_f (0 K) = 16.5 kcal/mol of atoms; VASP energy = -56.0 eV/cell; density of states at the Fermi level = 2.518 states/eV/cell; energy above the lowest structure with this stoichiometry = 731 meV/atom
1.0
2.755 0.000 0.000
0.000 5.055 0.000
0.000 0.000 5.055
K Tc Al
1 1 2
direct
0.500 0.500 0.500
0.500 0.000 0.000
0.000 0.000 0.500
0.000 0.500 0.000



KSnAu3 (meta-GGA SCAN, single point on PBEsol structure); ΔH_f (0 K) = 25.2 kcal/mol of atoms; VASP energy = -246.3 eV/cell; density of states at the Fermi level = 1.964 states/eV/cell
1.0
-3.501 -1.180 -3.788
-1.877 -3.958 2.968
-3.495 3.307 2.201
K Au Sn
1 3 1
direct
0.000 0.000 0.000
0.000 0.500 0.000
0.000 0.000 0.500
0.500 0.000 0.000
0.500 0.500 0.500



FePO3 (meta-GGA SCAN, single point on PBEsol structure); VASP energy = -51.9 eV/cell; density of states at the Fermi level = 4.187 states/eV/cell; energy relative to the elements, uncorrected = -0.94 eV per atom
1.0
3.540 0.000 0.000
0.000 3.540 0.000
0.000 0.000 3.540
P Fe O
1 1 3
direct
0.000 0.000 0.000
0.500 0.500 0.500
0.000 0.500 0.000
0.000 0.000 0.500
0.500 0.000 0.000



Y2AlP (meta-GGA SCAN, single point on PBEsol structure); ΔH_f (0 K) = -16.0 kcal/mol of atoms; VASP energy = -76.6 eV/cell; density of states at the Fermi level = 2.283 states/eV/cell; energy above the lowest structure with this stoichiometry = 0 meV/atom
1.0
-3.627 1.915 0.000
-1.223 -2.319 3.154
4.275 3.706 1.716
Y P Al
2 1 1
direct
0.000 0.000 0.000
0.750 0.250 0.500
0.250 0.750 0.500
0.500 0.500 0.000